No. 1
Density functional theory data (meta-GGA SCAN) for a crystal of Ba4SrCu relaxed with PBEsol.

Structure (CIF):
```
data_Ba4SrCu
_chemical_formula_sum 'Ba4 Sr1 Cu1'
_cell_length_a 7.499
_cell_length_b 7.499
_cell_length_c 7.499
_cell_angle_alpha 60.00
_cell_angle_beta 60.00
_cell_angle_gamma 60.00
_symmetry_space_group_name_H-M 'P 1'
_symmetry_Int_Tables_number 1
loop_
_symmetry_equiv_pos_as_xyz
'x,y,z'
loop_
_atom_site_label
_atom_site_type_symbol
_atom_site_fract_x
_atom_site_fract_y
_atom_site_fract_z
Ba1 Ba 0.376 0.376 0.376
Ba2 Ba 0.376 0.376 0.871
Ba3 Ba 0.376 0.871 0.376
Ba4 Ba 0.871 0.376 0.376
Sr1 Sr 0.000 0.000 0.000
Cu1 Cu 0.750 0.750 0.750
```

Properties
space-group type = No. 216
DFT formation energy = 595.2 meV per atom

---

No. 2
Density functional theory data (meta-GGA SCAN) for a crystal of Ba3SrCu relaxed with PBEsol.

Structure (CIF):
```
data_Ba3SrCu
_chemical_formula_sum 'Ba3 Sr1 Cu1'
_cell_length_a 6.306
_cell_length_b 6.306
_cell_length_c 6.306
_cell_angle_alpha 90.00
_cell_angle_beta 90.00
_cell_angle_gamma 90.00
_symmetry_space_group_name_H-M 'P 1'
_symmetry_Int_Tables_number 1
loop_
_symmetry_equiv_pos_as_xyz
'x,y,z'
loop_
_atom_site_label
_atom_site_type_symbol
_atom_site_fract_x
_atom_site_fract_y
_atom_site_fract_z
Ba1 Ba 0.000 0.000 0.500
Ba2 Ba 0.000 0.500 0.000
Ba3 Ba 0.500 0.000 0.000
Sr1 Sr 0.500 0.500 0.500
Cu1 Cu 0.000 0.000 0.000
```

Properties
space-group type = No. 221
DFT formation energy = 37.0 meV per atom

---

No. 3
Density functional theory data (meta-GGA SCAN) for a crystal of BaSr3Cu relaxed with PBEsol.

Structure (CIF):
```
data_BaSr3Cu
_chemical_formula_sum 'Ba1 Sr3 Cu1'
_cell_length_a 6.080
_cell_length_b 6.080
_cell_length_c 6.080
_cell_angle_alpha 90.00
_cell_angle_beta 90.00
_cell_angle_gamma 90.00
_symmetry_space_group_name_H-M 'P 1'
_symmetry_Int_Tables_number 1
loop_
_symmetry_equiv_pos_as_xyz
'x,y,z'
loop_
_atom_site_label
_atom_site_type_symbol
_atom_site_fract_x
_atom_site_fract_y
_atom_site_fract_z
Ba1 Ba 0.000 0.000 0.000
Sr1 Sr 0.000 0.500 0.500
Sr2 Sr 0.500 0.000 0.500
Sr3 Sr 0.500 0.500 0.000
Cu1 Cu 0.500 0.500 0.500
```

Properties
space-group type = No. 221
DFT formation energy = 5.5 meV per atom

---

No. 4
Density functional theory data (meta-GGA SCAN) for a crystal of BaTaCu3 relaxed with PBEsol.

Structure (CIF):
```
data_BaTaCu3
_chemical_formula_sum 'Ba1 Ta1 Cu3'
_cell_length_a 4.920
_cell_length_b 4.920
_cell_length_c 4.920
_cell_angle_alpha 90.00
_cell_angle_beta 90.00
_cell_angle_gamma 90.00
_symmetry_space_group_name_H-M 'P 1'
_symmetry_Int_Tables_number 1
loop_
_symmetry_equiv_pos_as_xyz
'x,y,z'
loop_
_atom_site_label
_atom_site_type_symbol
_atom_site_fract_x
_atom_site_fract_y
_atom_site_fract_z
Ba1 Ba 0.000 0.000 0.000
Ta1 Ta 0.500 0.500 0.500
Cu1 Cu 0.000 0.000 0.500
Cu2 Cu 0.000 0.500 0.000
Cu3 Cu 0.500 0.000 0.000
```

Properties
space-group type = No. 221
DFT formation energy = 2316.7 meV per atom

---

No. 5
Density functional theory data (meta-GGA SCAN) for a crystal of BaTa4Cu relaxed with PBEsol.

Structure (CIF):
```
data_BaTa4Cu
_chemical_formula_sum 'Ba1 Ta4 Cu1'
_cell_length_a 5.608
_cell_length_b 5.608
_cell_length_c 5.608
_cell_angle_alpha 60.00
_cell_angle_beta 60.00
_cell_angle_gamma 60.00
_symmetry_space_group_name_H-M 'P 1'
_symmetry_Int_Tables_number 1
loop_
_symmetry_equiv_pos_as_xyz
'x,y,z'
loop_
_atom_site_label
_atom_site_type_symbol
_atom_site_fract_x
_atom_site_fract_y
_atom_site_fract_z
Ba1 Ba 0.000 0.000 0.000
Ta1 Ta 0.374 0.374 0.374
Ta2 Ta 0.374 0.374 0.877
Ta3 Ta 0.374 0.877 0.374
Ta4 Ta 0.877 0.374 0.374
Cu1 Cu 0.750 0.750 0.750
```

Properties
space-group type = No. 216
DFT formation energy = 1031.0 meV per atom

---

No. 6
Density functional theory data (meta-GGA SCAN) for a crystal of Ba2TaCu relaxed with PBEsol.

Structure (CIF):
```
data_Ba2TaCu
_chemical_formula_sum 'Ba2 Ta1 Cu1'
_cell_length_a 5.542
_cell_length_b 5.542
_cell_length_c 5.542
_cell_angle_alpha 60.00
_cell_angle_beta 60.00
_cell_angle_gamma 60.00
_symmetry_space_group_name_H-M 'P 1'
_symmetry_Int_Tables_number 1
loop_
_symmetry_equiv_pos_as_xyz
'x,y,z'
loop_
_atom_site_label
_atom_site_type_symbol
_atom_site_fract_x
_atom_site_fract_y
_atom_site_fract_z
Ba1 Ba 0.250 0.250 0.250
Ba2 Ba 0.750 0.750 0.750
Ta1 Ta 0.000 0.000 0.000
Cu1 Cu 0.500 0.500 0.500
```

Properties
space-group type = No. 225
ΔE to the lowest computed polymorph = 75 meV per atom
DFT formation energy = 1111.4 meV per atom

---

No. 7
Density functional theory data (meta-GGA SCAN) for a crystal of Ba3TaCu relaxed with PBEsol.

Structure (CIF):
```
data_Ba3TaCu
_chemical_formula_sum 'Ba3 Ta1 Cu1'
_cell_length_a 5.923
_cell_length_b 5.923
_cell_length_c 5.923
_cell_angle_alpha 90.00
_cell_angle_beta 90.00
_cell_angle_gamma 90.00
_symmetry_space_group_name_H-M 'P 1'
_symmetry_Int_Tables_number 1
loop_
_symmetry_equiv_pos_as_xyz
'x,y,z'
loop_
_atom_site_label
_atom_site_type_symbol
_atom_site_fract_x
_atom_site_fract_y
_atom_site_fract_z
Ba1 Ba 0.000 0.000 0.500
Ba2 Ba 0.000 0.500 0.000
Ba3 Ba 0.500 0.000 0.000
Ta1 Ta 0.000 0.000 0.000
Cu1 Cu 0.500 0.500 0.500
```

Properties
space-group type = No. 221
DFT formation energy = 1154.0 meV per atom

---

No. 8
Density functional theory data (meta-GGA SCAN) for a crystal of Ba4TaCu relaxed with PBEsol.

Structure (CIF):
```
data_Ba4TaCu
_chemical_formula_sum 'Ba4 Ta1 Cu1'
_cell_length_a 6.808
_cell_length_b 6.808
_cell_length_c 6.808
_cell_angle_alpha 60.00
_cell_angle_beta 60.00
_cell_angle_gamma 60.00
_symmetry_space_group_name_H-M 'P 1'
_symmetry_Int_Tables_number 1
loop_
_symmetry_equiv_pos_as_xyz
'x,y,z'
loop_
_atom_site_label
_atom_site_type_symbol
_atom_site_fract_x
_atom_site_fract_y
_atom_site_fract_z
Ba1 Ba 0.125 0.125 0.125
Ba2 Ba 0.125 0.125 0.625
Ba3 Ba 0.125 0.625 0.125
Ba4 Ba 0.625 0.125 0.125
Ta1 Ta 0.500 0.500 0.500
Cu1 Cu 0.750 0.750 0.750
```

Properties
space-group type = No. 216
DFT formation energy = 1366.9 meV per atom

---

No. 9
Density functional theory data (meta-GGA SCAN) for a crystal of Ba2TaCu relaxed with PBEsol.

Structure (CIF):
```
data_Ba2TaCu
_chemical_formula_sum 'Ba2 Ta1 Cu1'
_cell_length_a 5.746
_cell_length_b 5.746
_cell_length_c 3.354
_cell_angle_alpha 90.00
_cell_angle_beta 90.00
_cell_angle_gamma 90.00
_symmetry_space_group_name_H-M 'P 1'
_symmetry_Int_Tables_number 1
loop_
_symmetry_equiv_pos_as_xyz
'x,y,z'
loop_
_atom_site_label
_atom_site_type_symbol
_atom_site_fract_x
_atom_site_fract_y
_atom_site_fract_z
Ba1 Ba 0.000 0.500 0.000
Ba2 Ba 0.500 0.000 0.000
Ta1 Ta 0.000 0.000 0.500
Cu1 Cu 0.500 0.500 0.500
```

Properties
space-group type = No. 123
ΔE to the lowest computed polymorph = 0 meV per atom
DFT formation energy = 1036.7 meV per atom

---

No. 10
Density functional theory data (meta-GGA SCAN) for a crystal of BaCu2Tc relaxed with PBEsol.

Structure (CIF):
```
data_BaCu2Tc
_chemical_formula_sum 'Ba1 Cu2 Tc1'
_cell_length_a 3.095
_cell_length_b 3.331
_cell_length_c 7.133
_cell_angle_alpha 90.00
_cell_angle_beta 90.00
_cell_angle_gamma 90.00
_symmetry_space_group_name_H-M 'P 1'
_symmetry_Int_Tables_number 1
loop_
_symmetry_equiv_pos_as_xyz
'x,y,z'
loop_
_atom_site_label
_atom_site_type_symbol
_atom_site_fract_x
_atom_site_fract_y
_atom_site_fract_z
Ba1 Ba 0.000 0.000 0.000
Cu1 Cu 0.500 0.500 0.330
Cu2 Cu 0.500 0.500 0.670
Tc1 Tc 0.000 0.000 0.500
```

Properties
space-group type = No. 47
DFT formation energy = 573.7 meV per atom

---

No. 11
Density functional theory data (meta-GGA SCAN) for a crystal of Ba3CuTc relaxed with PBEsol.

Structure (CIF):
```
data_Ba3CuTc
_chemical_formula_sum 'Ba3 Cu1 Tc1'
_cell_length_a 5.886
_cell_length_b 5.886
_cell_length_c 5.886
_cell_angle_alpha 90.00
_cell_angle_beta 90.00
_cell_angle_gamma 90.00
_symmetry_space_group_name_H-M 'P 1'
_symmetry_Int_Tables_number 1
loop_
_symmetry_equiv_pos_as_xyz
'x,y,z'
loop_
_atom_site_label
_atom_site_type_symbol
_atom_site_fract_x
_atom_site_fract_y
_atom_site_fract_z
Ba1 Ba 0.000 0.000 0.500
Ba2 Ba 0.000 0.500 0.000
Ba3 Ba 0.500 0.000 0.000
Cu1 Cu 0.000 0.000 0.000
Tc1 Tc 0.500 0.500 0.500
```

Properties
space-group type = No. 221
DFT formation energy = 892.9 meV per atom

---

No. 12
Density functional theory data (meta-GGA SCAN) for a crystal of BaCuTc2 relaxed with PBEsol.

Structure (CIF):
```
data_BaCuTc2
_chemical_formula_sum 'Ba1 Cu1 Tc2'
_cell_length_a 3.313
_cell_length_b 3.313
_cell_length_c 7.258
_cell_angle_alpha 90.00
_cell_angle_beta 90.00
_cell_angle_gamma 90.00
_symmetry_space_group_name_H-M 'P 1'
_symmetry_Int_Tables_number 1
loop_
_symmetry_equiv_pos_as_xyz
'x,y,z'
loop_
_atom_site_label
_atom_site_type_symbol
_atom_site_fract_x
_atom_site_fract_y
_atom_site_fract_z
Ba1 Ba 0.000 0.000 0.000
Cu1 Cu 0.000 0.000 0.500
Tc1 Tc 0.500 0.500 0.351
Tc2 Tc 0.500 0.500 0.649
```

Properties
space-group type = No. 123
DFT formation energy = 785.3 meV per atom

---

No. 13
Density functional theory data (meta-GGA SCAN) for a crystal of BaCuTe2 relaxed with PBEsol.

Structure (CIF):
```
data_BaCuTe2
_chemical_formula_sum 'Ba1 Cu1 Te2'
_cell_length_a 6.656
_cell_length_b 6.656
_cell_length_c 4.458
_cell_angle_alpha 109.46
_cell_angle_beta 109.46
_cell_angle_gamma 39.15
_symmetry_space_group_name_H-M 'P 1'
_symmetry_Int_Tables_number 1
loop_
_symmetry_equiv_pos_as_xyz
'x,y,z'
loop_
_atom_site_label
_atom_site_type_symbol
_atom_site_fract_x
_atom_site_fract_y
_atom_site_fract_z
Ba1 Ba 0.000 0.000 0.000
Cu1 Cu 0.750 0.750 0.251
Te1 Te 0.357 0.357 0.355
Te2 Te 0.643 0.643 0.645
```

Properties
space-group type = No. 8
formation energy without anion corrections = -937.6 meV per atom

---

No. 14
Density functional theory data (meta-GGA SCAN) for a crystal of BaCuTe2 relaxed with PBEsol.

Structure (CIF):
```
data_BaCuTe2
_chemical_formula_sum 'Ba1 Cu1 Te2'
_cell_length_a 5.429
_cell_length_b 5.429
_cell_length_c 5.429
_cell_angle_alpha 60.00
_cell_angle_beta 60.00
_cell_angle_gamma 60.00
_symmetry_space_group_name_H-M 'P 1'
_symmetry_Int_Tables_number 1
loop_
_symmetry_equiv_pos_as_xyz
'x,y,z'
loop_
_atom_site_label
_atom_site_type_symbol
_atom_site_fract_x
_atom_site_fract_y
_atom_site_fract_z
Ba1 Ba 0.000 0.000 0.000
Cu1 Cu 0.250 0.250 0.250
Te1 Te 0.500 0.500 0.500
Te2 Te 0.750 0.750 0.750
```

Properties
space-group type = No. 216
formation energy without anion corrections = -193.1 meV per atom

---

No. 15
Density functional theory data (meta-GGA SCAN) for a crystal of BaCu3Te relaxed with PBEsol.

Structure (CIF):
```
data_BaCu3Te
_chemical_formula_sum 'Ba1 Cu3 Te1'
_cell_length_a 5.197
_cell_length_b 5.197
_cell_length_c 5.197
_cell_angle_alpha 90.00
_cell_angle_beta 90.00
_cell_angle_gamma 90.00
_symmetry_space_group_name_H-M 'P 1'
_symmetry_Int_Tables_number 1
loop_
_symmetry_equiv_pos_as_xyz
'x,y,z'
loop_
_atom_site_label
_atom_site_type_symbol
_atom_site_fract_x
_atom_site_fract_y
_atom_site_fract_z
Ba1 Ba 0.000 0.000 0.000
Cu1 Cu 0.000 0.000 0.500
Cu2 Cu 0.000 0.500 0.000
Cu3 Cu 0.500 0.000 0.000
Te1 Te 0.500 0.500 0.500
```

Properties
space-group type = No. 221
formation energy without anion corrections = 1461.1 meV per atom